1.
TaMoBr2 (GGA-PBE, relaxed); DOS(E_F) = 3.21 states/eV/f.u.; polymorph energy (0 for the lowest one) = 465 meV/atom; VASP energy = -0.2268 hartree per atom; symmetry = No. 8; M_tot = 0.0 μB per formula unit; uncorrected formation energy = 1.35 eV per formula unit
1.0
4.617 -1.626 0.000
4.617 1.626 0.000
-0.568 0.000 7.291
Ta Mo Br
1 1 2
Direct
0.000 0.000 0.000
0.711 0.711 0.955
0.356 0.356 0.710
0.593 0.593 0.270

2.
TaMoBr2 (GGA-PBE, relaxed); DOS(E_F) = 4.88 states/eV/f.u.; polymorph energy (0 for the lowest one) = 1249 meV/atom; VASP energy = -0.1979 hartree per atom; symmetry = No. 216; M_tot = 1.8 μB per formula unit; uncorrected formation energy = 4.48 eV per formula unit
1.0
0.000 3.403 3.403
3.403 0.000 3.403
3.403 3.403 0.000
Ta Mo Br
1 1 2
Direct
0.000 0.000 0.000
0.750 0.750 0.750
0.250 0.250 0.250
0.500 0.500 0.500

3.
TaMo2Br (GGA-PBE, relaxed); DOS(E_F) = 3.76 states/eV/f.u.; polymorph energy (0 for the lowest one) = 326 meV/atom; VASP energy = -0.2982 hartree per atom; symmetry = No. 71; M_tot = 0.0 μB per formula unit; uncorrected formation energy = 2.73 eV per formula unit
1.0
-1.556 2.271 4.761
1.556 -2.271 4.761
1.556 2.271 -4.761
Ta Mo Br
1 2 1
Direct
0.000 0.000 0.000
0.257 0.757 0.500
0.743 0.243 0.500
0.500 0.500 0.000

4.
TaMo2Br (GGA-PBE, relaxed); DOS(E_F) = 3.89 states/eV/f.u.; polymorph energy (0 for the lowest one) = 339 meV/atom; VASP energy = -0.2977 hartree per atom; symmetry = No. 123; M_tot = 0.0 μB per formula unit; uncorrected formation energy = 2.78 eV per formula unit
1.0
4.651 0.000 0.000
0.000 4.651 0.000
0.000 0.000 3.127
Ta Mo Br
1 2 1
Direct
0.000 0.000 0.000
0.000 0.500 0.500
0.500 0.000 0.500
0.500 0.500 0.000

5.
TaMoBr4 (GGA-PBE, relaxed); DOS(E_F) = 9.64 states/eV/f.u.; VASP energy = -0.1166 hartree per atom; symmetry = No. 216; M_tot = 1.2 μB per formula unit; uncorrected formation energy = 10.33 eV per formula unit
1.0
0.000 4.257 4.257
4.257 0.000 4.257
4.257 4.257 0.000
Ta Mo Br
1 1 4
Direct
0.000 0.000 0.000
0.250 0.250 0.250
0.124 0.625 0.625
0.625 0.124 0.625
0.625 0.625 0.124
0.625 0.625 0.625

6.
TaMoBr (GGA-PBE, relaxed); DOS(E_F) = 2.75 states/eV/f.u.; polymorph energy (0 for the lowest one) = 125 meV/atom; VASP energy = -0.2783 hartree per atom; symmetry = No. 156; M_tot = 0.0 μB per formula unit; uncorrected formation energy = 1.64 eV per formula unit
1.0
3.008 0.000 0.000
-1.504 2.605 0.000
0.000 0.000 6.934
Ta Mo Br
1 1 1
Direct
0.000 0.000 0.000
0.333 0.667 0.658
0.667 0.333 0.305

What is the uncorrected formation energy in the second record? 4.48 eV per formula unit

Among the records above, which one has the highest uncorrected formation energy? TaMoBr4

Repeat the fourth record exactly.
TaMo2Br (GGA-PBE, relaxed); DOS(E_F) = 3.89 states/eV/f.u.; polymorph energy (0 for the lowest one) = 339 meV/atom; VASP energy = -0.2977 hartree per atom; symmetry = No. 123; M_tot = 0.0 μB per formula unit; uncorrected formation energy = 2.78 eV per formula unit
1.0
4.651 0.000 0.000
0.000 4.651 0.000
0.000 0.000 3.127
Ta Mo Br
1 2 1
Direct
0.000 0.000 0.000
0.000 0.500 0.500
0.500 0.000 0.500
0.500 0.500 0.000

The highest DOS(E_F) belongs to which entry? TaMoBr4